Density functional theory data (PBE-GGA) for crystalline SmTm2Mg at its relaxed geometry.

a = 3.4323 Å, b = 3.4323 Å, c = 36.5433 Å
α = 90.00°, β = 90.00°, γ = 120.00°
Space group R-3m (No. 166, hexagonal axes)
Symmetry-distinct sites (fractional):
Sm 0.0000 0.0000 0.0000 [3 per cell]
Tm 0.0000 0.0000 0.4113 [6 per cell]
Mg 0.0000 0.0000 0.5000 [3 per cell]

Results
Its formation energy is 0.215 eV/atom. The total energy is -3.599 eV/atom.